## RbFeCl3 (PBE-GGA)

Data for an optimized crystal structure of RbFeCl3.

The structure in CIF format:
```
data_RbFeCl3
_chemical_formula_sum 'Rb1 Fe1 Cl3'
_cell_length_a 5.862
_cell_length_b 5.862
_cell_length_c 5.862
_cell_angle_alpha 90.00
_cell_angle_beta 90.00
_cell_angle_gamma 90.00
_space_group_name_H-M_alt 'P m -3 m'
_space_group_IT_number 221
_space_group_name_Hall '-P 4 2 3'
loop_
_atom_site_label
_atom_site_fract_x
_atom_site_fract_y
_atom_site_fract_z
Rb1 0.000 0.000 0.000
Fe1 0.500 0.500 0.500
Cl1 0.000 0.000 0.500
```

## Properties
E_form (uncorrected) (eV per atom): 0.271
Uncorrected energy (eV/atom): -2.723



## NaPrNdCd (PBE-GGA)

Data for an optimized crystal structure of NaPrNdCd.

The structure in CIF format:
```
data_NaPrNdCd
_chemical_formula_sum 'Na4 Pr4 Nd4 Cd4'
_cell_length_a 7.879
_cell_length_b 7.879
_cell_length_c 7.879
_cell_angle_alpha 90.00
_cell_angle_beta 90.00
_cell_angle_gamma 90.00
_space_group_name_H-M_alt 'F -4 3 m'
_space_group_IT_number 216
_space_group_name_Hall 'F -4 2 3'
loop_
_atom_site_label
_atom_site_fract_x
_atom_site_fract_y
_atom_site_fract_z
Na1 0.000 0.000 0.000
Pr1 0.250 0.250 0.250
Nd1 0.250 0.250 0.750
Cd1 0.000 0.000 0.500
```

## Properties
Uncorrected energy (eV/atom): -2.950



## Ho6Sn2N (PBE-GGA)

Data for an optimized crystal structure of Ho6Sn2N.

The structure in CIF format:
```
data_Ho6Sn2N
_chemical_formula_sum 'Ho12 Sn4 N2'
_cell_length_a 14.478
_cell_length_b 6.854
_cell_length_c 5.517
_cell_angle_alpha 90.00
_cell_angle_beta 112.31
_cell_angle_gamma 90.00
_space_group_name_H-M_alt 'C 1 2/m 1'
_space_group_IT_number 12
loop_
_space_group_symop_operation_xyz
'x,y,z'
'-x,-y,-z'
'-x,y,-z'
'x,-y,z'
'x+1/2,y+1/2,z'
'-x+1/2,-y+1/2,-z'
'-x+1/2,y+1/2,-z'
'x+1/2,-y+1/2,z'
loop_
_atom_site_label
_atom_site_fract_x
_atom_site_fract_y
_atom_site_fract_z
Ho1 0.000 0.250 0.000
Ho2 0.126 0.246 0.625
Sn1 0.186 0.500 0.185
N1 0.000 0.000 0.500
```

## Properties
E_form (uncorrected) (eV per atom): -0.232
Uncorrected energy (eV/atom): -5.099